# Er2Ga6Cu11

A geometry-optimized Er2Ga6Cu11 structure (PBE, Alexandria).

The structure belongs to space group R-3m (No. 166, hexagonal axes); the cell edges are 8.7335, 8.7335 and 12.6691 Å and the angles 90.00°, 90.00° and 120.00°. The asymmetric unit holds Er at (0.0000, 0.0000, 0.1598), Ga at (0.0102, 0.5051, 0.3480), Cu at (0.0000, 0.0000, 0.4014), Cu at (0.0000, 0.2950, 0.5000) and Cu at (0.0000, 0.5000, 0.0000).

For the total magnetic moment, the calculation gives 0.00 μB/atom. The calculated formation energy is -247.3 meV/atom. The value obtained for the uncorrected energy is -4.055 eV/atom.

---

# Er2GaCu7

A geometry-optimized Er2GaCu7 structure (PBE, Alexandria).

The structure belongs to space group P-4m2 (No. 115); the cell edges are 3.803, 3.803 and 11.119 Å and the angles 90.00°, 90.00° and 90.00°. The asymmetric unit holds Er at (0.000, 0.500, 0.246), Ga at (0.000, 0.000, 0.500), Cu at (0.000, 0.000, 0.000), Cu at (0.000, 0.500, 0.646), Cu at (0.000, 0.500, 0.862), Cu at (0.500, 0.500, 0.000) and Cu at (0.500, 0.500, 0.500).

For the total magnetic moment, the calculation gives 0.00 μB/atom. The calculated formation energy is -199.4 meV/atom. The value obtained for the uncorrected energy is -4.282 eV/atom.

---

Repeat the second record exactly.
# Er2GaCu7

A geometry-optimized Er2GaCu7 structure (PBE, Alexandria).

The structure belongs to space group P-4m2 (No. 115); the cell edges are 3.803, 3.803 and 11.119 Å and the angles 90.00°, 90.00° and 90.00°. The asymmetric unit holds Er at (0.000, 0.500, 0.246), Ga at (0.000, 0.000, 0.500), Cu at (0.000, 0.000, 0.000), Cu at (0.000, 0.500, 0.646), Cu at (0.000, 0.500, 0.862), Cu at (0.500, 0.500, 0.000) and Cu at (0.500, 0.500, 0.500).

For the total magnetic moment, the calculation gives 0.00 μB/atom. The calculated formation energy is -199.4 meV/atom. The value obtained for the uncorrected energy is -4.282 eV/atom.

---

> What is the uncorrected energy in the first record?

-4.055 eV/atom

---

> Among the records above, which one has the lowest uncorrected energy?

Er2GaCu7